Computed, not measured: a geometry-optimized YRhBr structure at the GGA-PBE level of DFT.

a b c (Å): 6.593 6.593 6.593
angles (deg): 90.00 90.00 90.00
Space group F-43m (No. 216)
Symmetry-distinct sites (fractional):
Y: 0.000 0.000 0.000
Rh: 0.250 0.250 0.750
Br: 0.000 0.000 0.500

Output
DFT total energy: -5.60 eV/atom
spin magnetization: 0.00 μB per cell
density of states at the Fermi level: 9.55 states/eV per cell
mass density: 6.30 Mg/m³

Computed, not measured: a geometry-optimized Cs2Cl3F6 structure at the GGA-PBE level of DFT.

a b c (Å): 9.236 8.746 13.638
angles (deg): 90.00 98.53 90.00
Space group C2/c (No. 15)
Symmetry-distinct sites (fractional):
Cs: 0.020 0.232 0.050
Cl: 0.000 0.450 0.750
Cl: 0.177 0.058 0.763
F: 0.046 0.449 0.885
F: 0.158 0.077 0.628
F: 0.195 0.039 0.900

Output
DFT total energy: -3.08 eV/atom
spin magnetization: 3.18 μB per cell
density of states at the Fermi level: 15.55 states/eV per cell
mass density: 2.96 Mg/m³

Computed, not measured: a geometry-optimized Co2AsW structure at the GGA-PBE level of DFT.

a b c (Å): 5.310 5.310 10.297
angles (deg): 90.00 90.00 90.00
Space group I-42d (No. 122)
Symmetry-distinct sites (fractional):
Co: 0.239 0.250 0.125
As: 0.000 0.000 0.000
W: 0.000 0.000 0.500

Output
DFT total energy: -7.19 eV/atom
spin magnetization: 0.00 μB per cell
formation energy from the elements: 0.763 eV/atom
density of states at the Fermi level: 13.38 states/eV per cell
mass density: 8.61 Mg/m³

Computed, not measured: a geometry-optimized CsCd2PtAu structure at the GGA-PBE level of DFT.

a b c (Å): 5.326 5.326 5.413
angles (deg): 90.00 90.00 90.00
Space group P4/mmm (No. 123)
Symmetry-distinct sites (fractional):
Cs: 0.000 0.000 0.000
Cd: 0.000 0.500 0.500
Pt: 0.500 0.500 0.500
Au: 0.500 0.500 0.000

Output
DFT total energy: -2.58 eV/atom
spin magnetization: 0.00 μB per cell
formation energy from the elements: -0.181 eV/atom
density of states at the Fermi level: 1.82 states/eV per cell
mass density: 8.11 Mg/m³

Computed, not measured: a geometry-optimized Pm4ScTe5 structure at the GGA-PBE level of DFT.

a b c (Å): 4.368 4.368 31.850
angles (deg): 90.00 90.00 90.00
Space group I4/mmm (No. 139)
Symmetry-distinct sites (fractional):
Pm: 0.000 0.000 0.105
Pm: 0.000 0.000 0.312
Sc: 0.000 0.000 0.500
Te: 0.000 0.000 0.000
Te: 0.000 0.000 0.206
Te: 0.000 0.000 0.410

Output
DFT total energy: -5.44 eV/atom
spin magnetization: 0.00 μB per cell
density of states at the Fermi level: 11.22 states/eV per cell
mass density: 6.90 Mg/m³

Computed, not measured: a geometry-optimized Sm12Cd3N5 structure at the GGA-PBE level of DFT.

a b c (Å): 16.017 16.017 16.017
angles (deg): 90.00 90.00 90.00
Space group Ia-3d (No. 230)
Symmetry-distinct sites (fractional):
Sm: 0.039 0.050 0.647
Cd: 0.000 0.250 0.125
N: 0.000 0.000 0.000
N: 0.000 0.250 0.375

Output
DFT total energy: -5.74 eV/atom
spin magnetization: 0.00 μB per cell
density of states at the Fermi level: 135.18 states/eV per cell
mass density: 7.15 Mg/m³

Computed, not measured: a geometry-optimized CsYTl2Br6 structure at the GGA-PBE level of DFT.

a b c (Å): 8.2974 8.2974 21.8190
angles (deg): 90.00 90.00 120.00
Space group R3 (No. 146, hexagonal axes)
Symmetry-distinct sites (fractional):
Cs: 0.0000 0.0000 0.0000
Y: 0.0000 0.0000 0.4861
Tl: 0.0000 0.0000 0.2870
Tl: 0.0000 0.0000 0.8011
Br: 0.0189 0.2947 0.5557
Br: 0.0210 0.7442 0.4039

Output
DFT total energy: -3.68 eV/atom
spin magnetization: 0.00 μB per cell
density of states at the Fermi level: 0.00 states/eV per cell
mass density: 4.25 Mg/m³

Computed, not measured: a geometry-optimized Y3Tm7Tl2 structure at the GGA-PBE level of DFT.

a b c (Å): 5.567 3.582 18.179
angles (deg): 90.00 93.26 90.00
Space group P2/m (No. 10)
Symmetry-distinct sites (fractional):
Y: 0.000 0.000 0.000
Y: 0.273 0.500 0.633
Tm: 0.167 0.500 0.149
Tm: 0.242 0.000 0.459
Tm: 0.332 0.000 0.831
Tm: 0.500 0.500 0.000
Tl: 0.210 0.000 0.292

Output
DFT total energy: -4.64 eV/atom
spin magnetization: 0.00 μB per cell
formation energy from the elements: -0.025 eV/atom
density of states at the Fermi level: 11.92 states/eV per cell
mass density: 8.52 Mg/m³

Computed, not measured: a geometry-optimized Tl5Sn2I12 structure at the GGA-PBE level of DFT.

a b c (Å): 18.183 8.981 11.035
angles (deg): 90.00 102.01 90.00
Space group C2/m (No. 12)
Symmetry-distinct sites (fractional):
Tl: 0.000 0.000 0.000
Tl: 0.183 0.500 0.270
Tl: 0.217 0.500 0.854
Sn: 0.000 0.251 0.500
I: 0.010 0.500 0.701
I: 0.017 0.000 0.697
I: 0.139 0.249 0.040
I: 0.164 0.251 0.525

Output
DFT total energy: -2.48 eV/atom
spin magnetization: 0.00 μB per cell
density of states at the Fermi level: 18.38 states/eV per cell
mass density: 5.24 Mg/m³

Computed, not measured: a geometry-optimized KNa2Tl3F6 structure at the GGA-PBE level of DFT.

a b c (Å): 16.762 3.682 7.658
angles (deg): 90.00 105.71 90.00
Space group C2/m (No. 12)
Symmetry-distinct sites (fractional):
K: 0.000 0.000 0.000
Na: 0.170 0.500 0.338
Tl: 0.000 0.000 0.500
Tl: 0.173 0.500 0.812
F: 0.026 0.500 0.259
F: 0.174 0.000 0.130
F: 0.183 0.000 0.566

Output
DFT total energy: -4.04 eV/atom
spin magnetization: 0.00 μB per cell
density of states at the Fermi level: 0.00 states/eV per cell
mass density: 5.93 Mg/m³

Computed, not measured: a geometry-optimized Cs2PtS2 structure at the GGA-PBE level of DFT.

a b c (Å): 6.897 6.897 5.718
angles (deg): 90.00 90.00 90.00
Space group P4/mbm (No. 127)
Symmetry-distinct sites (fractional):
Cs: 0.171 0.329 0.000
Pt: 0.000 0.000 0.500
S: 0.171 0.671 0.500

Output
DFT total energy: -3.62 eV/atom
spin magnetization: 0.00 μB per cell
density of states at the Fermi level: 1.41 states/eV per cell
mass density: 6.41 Mg/m³

Computed, not measured: a geometry-optimized CaHfAu2 structure at the GGA-PBE level of DFT.

a b c (Å): 3.459 3.459 7.321
angles (deg): 90.00 90.00 90.00
Space group P4/mmm (No. 123)
Symmetry-distinct sites (fractional):
Ca: 0.000 0.000 0.000
Hf: 0.000 0.000 0.500
Au: 0.500 0.500 0.289

Output
DFT total energy: -5.22 eV/atom
spin magnetization: 0.07 μB per cell
formation energy from the elements: -0.594 eV/atom
density of states at the Fermi level: 2.77 states/eV per cell
mass density: 11.61 Mg/m³

Computed, not measured: a geometry-optimized TaOsSe2 structure at the GGA-PBE level of DFT.

a b c (Å): 6.356 6.356 6.356
angles (deg): 90.00 90.00 90.00
Space group Fm-3m (No. 225)
Symmetry-distinct sites (fractional):
Ta: 0.000 0.000 0.000
Os: 0.000 0.000 0.500
Se: 0.250 0.250 0.250

Output
DFT total energy: -7.21 eV/atom
spin magnetization: 0.00 μB per cell
energy above the most stable polymorph in this dataset: 459 meV per atom
density of states at the Fermi level: 10.20 states/eV per cell
mass density: 13.68 Mg/m³

Computed, not measured: a geometry-optimized Ac2ErPbS6 structure at the GGA-PBE level of DFT.

a b c (Å): 6.991 7.620 12.236
angles (deg): 90.00 124.14 90.00
Space group P2_1/c (No. 14)
Symmetry-distinct sites (fractional):
Ac: 0.212 0.093 0.247
Er: 0.500 0.000 0.000
Pb: 0.000 0.000 0.500
S: 0.123 0.182 0.935
S: 0.257 0.694 0.930
S: 0.395 0.051 0.755

Output
DFT total energy: -5.77 eV/atom
spin magnetization: 0.00 μB per cell
density of states at the Fermi level: 7.58 states/eV per cell
mass density: 6.28 Mg/m³

Computed, not measured: a geometry-optimized LiDyHoRu structure at the GGA-PBE level of DFT.

a b c (Å): 6.924 6.924 6.924
angles (deg): 90.00 90.00 90.00
Space group F-43m (No. 216)
Symmetry-distinct sites (fractional):
Li: 0.000 0.000 0.000
Dy: 0.250 0.250 0.750
Ho: 0.250 0.250 0.250
Ru: 0.000 0.000 0.500

Output
DFT total energy: -5.38 eV/atom
spin magnetization: 0.00 μB per cell
formation energy from the elements: -0.291 eV/atom
density of states at the Fermi level: 10.55 states/eV per cell
mass density: 8.71 Mg/m³

Computed, not measured: a geometry-optimized Pa2PtPb structure at the GGA-PBE level of DFT.

a b c (Å): 3.2073 3.2073 33.3195
angles (deg): 90.00 90.00 120.00
Space group R-3m (No. 166, hexagonal axes)
Symmetry-distinct sites (fractional):
Pa: 0.0000 0.0000 0.0808
Pt: 0.0000 0.0000 0.0000
Pb: 0.0000 0.0000 0.5000

Output
DFT total energy: -7.03 eV/atom
spin magnetization: 2.54 μB per cell
formation energy from the elements: 0.151 eV/atom
energy above the most stable polymorph in this dataset: 545 meV per atom
density of states at the Fermi level: 21.35 states/eV per cell
mass density: 14.51 Mg/m³

Computed, not measured: a geometry-optimized ZrBeSe3 structure at the GGA-PBE level of DFT.

a b c (Å): 5.213 5.213 5.213
angles (deg): 90.00 90.00 90.00
Space group Pm-3m (No. 221)
Symmetry-distinct sites (fractional):
Zr: 0.000 0.000 0.000
Be: 0.500 0.500 0.500
Se: 0.000 0.000 0.500

Output
DFT total energy: -4.42 eV/atom
spin magnetization: 0.39 μB per cell
energy above the most stable polymorph in this dataset: 284 meV per atom
density of states at the Fermi level: 3.49 states/eV per cell
mass density: 3.95 Mg/m³

Computed, not measured: a geometry-optimized NaSc2Ru structure at the GGA-PBE level of DFT.

a b c (Å): 3.2601 3.2601 31.0657
angles (deg): 90.00 90.00 120.00
Space group R-3m (No. 166, hexagonal axes)
Symmetry-distinct sites (fractional):
Na: 0.0000 0.0000 0.0000
Sc: 0.0000 0.0000 0.1065
Ru: 0.0000 0.0000 0.5000

Output
DFT total energy: -5.81 eV/atom
spin magnetization: 0.00 μB per cell
formation energy from the elements: 0.008 eV/atom
density of states at the Fermi level: 13.75 states/eV per cell
mass density: 3.73 Mg/m³

Computed, not measured: a geometry-optimized Dy4SnRh7 structure at the GGA-PBE level of DFT.

a b c (Å): 10.978 5.030 9.987
angles (deg): 90.00 120.10 90.00
Space group C2/m (No. 12)
Symmetry-distinct sites (fractional):
Dy: 0.093 0.000 0.282
Dy: 0.231 0.500 0.154
Sn: 0.000 0.500 0.500
Rh: 0.000 0.000 0.500
Rh: 0.084 0.500 0.803
Rh: 0.127 0.000 0.011
Rh: 0.205 0.500 0.415

Output
DFT total energy: -6.61 eV/atom
spin magnetization: 0.00 μB per cell
formation energy from the elements: -0.451 eV/atom
density of states at the Fermi level: 20.95 states/eV per cell
mass density: 10.36 Mg/m³

Computed, not measured: a geometry-optimized NaAcBi2 structure at the GGA-PBE level of DFT.

a b c (Å): 4.647 4.647 12.715
angles (deg): 90.00 90.00 90.00
Space group P4/nmm (No. 129, origin choice 2)
Symmetry-distinct sites (fractional):
Na: 0.250 0.750 0.000
Ac: 0.250 0.250 0.280
Bi: 0.250 0.250 0.818
Bi: 0.250 0.750 0.500

Output
DFT total energy: -3.93 eV/atom
spin magnetization: 0.00 μB per cell
formation energy from the elements: -0.631 eV/atom
energy above the most stable polymorph in this dataset: 0 meV per atom
density of states at the Fermi level: 4.80 states/eV per cell
mass density: 8.08 Mg/m³